# 1
Computed, not measured: an optimized crystal structure of Sr2Sb2Te at the PBE level of DFT.

```
Sr2Sb2Te
1.0
-3.4984 2.6406 4.6876
-2.6283 -5.7177 1.2592
0.2874 -2.4189 5.9700
Sb Te Sr
2 1 2
direct
0.3412 0.3412 0.3176 Sb
0.6588 0.6588 0.6824 Sb
0.0000 0.0000 0.0000 Te
0.7500 0.2500 0.5000 Sr
0.2500 0.7500 0.5000 Sr
```

Results
- energy relative to the lowest polymorph listed for this composition (eV/atom) = 0.316
- E_form (uncorrected) (eV/atom) = -0.6989
- calculated density (g/cm³) = 4.81

***

# 2
Computed, not measured: an optimized crystal structure of Sr3HgGe2Au6 at the PBE level of DFT.

```
Sr3HgGe2Au6
1.0
6.5439 0.0000 0.0000
-3.2719 5.6671 0.0000
0.0000 0.0000 8.4829
Sr Au Ge Hg
3 6 2 1
direct
0.6667 0.3333 0.3504 Sr
0.0000 0.0000 0.0000 Sr
0.3333 0.6667 0.6496 Sr
0.3646 0.1823 0.7177 Au
0.1823 0.3646 0.2823 Au
0.1823 0.8177 0.2823 Au
0.6354 0.8177 0.2823 Au
0.8177 0.6354 0.7177 Au
0.8177 0.1823 0.7177 Au
0.6667 0.3333 0.9483 Ge
0.3333 0.6667 0.0517 Ge
0.0000 0.0000 0.5000 Hg
```

Results
- E_form (eV/atom) = -0.41
- calculated density (g/cm³) = 9.45

***

# 3
Computed, not measured: an optimized crystal structure of KLiTc at the PBE level of DFT.

```
KLiTc
1.0
-2.8608 4.2664 0.7068
-4.1932 -0.1654 3.0457
0.0326 2.4124 4.5897
Li Tc K
1 1 1
direct
0.0000 0.0000 0.0000 Li
0.5000 0.5000 0.5000 Tc
0.7500 0.7500 0.7500 K
```

Results
- energy relative to the lowest polymorph listed for this composition (eV/atom) = 0.983
- E_form (eV/atom) = 1.84
- calculated density (g/cm³) = 2.43

***

# 4
Computed, not measured: an optimized crystal structure of RbBaNi2Bi at the PBE level of DFT.

```
RbBaNi2Bi
1.0
-0.5634 3.9417 -3.1661
-1.0965 -3.9519 -4.7250
-4.9766 0.1294 1.0467
Bi Ni Ba Rb
1 2 1 1
direct
0.0000 0.0000 0.0000 Bi
0.0000 0.0000 0.5000 Ni
0.5000 0.0000 0.0000 Ni
0.5000 0.5000 0.5000 Ba
0.0000 0.5000 0.0000 Rb
```

Results
- energy relative to the lowest polymorph listed for this composition (eV/atom) = 0.000
- E_form (eV/atom) = 0.59
- calculated density (g/cm³) = 5.63